This record from Alexandria describes a geometry-optimized MnFePtO6 structure. The functional is PBE+U.

## Properties
DOS(E_F) = 0.642 states/eV per atom
calculated total energy = -6.15 eV per atom
total magnetic moment = 5.98 Bohr magnetons per cell
density = 7.151 Mg/m³
SG = P-31c, No. 163

Cell lengths 5.018, 5.018, 8.558 Å; angles 90.00, 90.00, 120.00 degrees
Sites, in units of the cell vectors:
1 O 0.991 0.651 0.375
2 O 0.349 0.009 0.125
3 O 0.651 0.660 0.625
4 O 0.340 0.991 0.625
5 O 0.991 0.340 0.125
6 O 0.651 0.991 0.875
7 O 0.660 0.009 0.375
8 O 0.340 0.349 0.875
9 O 0.009 0.660 0.875
10 O 0.009 0.349 0.625
11 O 0.660 0.651 0.125
12 O 0.349 0.340 0.375
13 Fe 0.333 0.667 0.750
14 Fe 0.667 0.333 0.250
15 Pt 0.333 0.667 0.250
16 Pt 0.667 0.333 0.750
17 Mn 0.000 0.000 0.000
18 Mn 0.000 0.000 0.500